## CrTcGe3 (PBE-GGA)

Data for a geometry-optimized CrTcGe3 structure.

## Properties
- Total moment: 6.1 μB/cell
- Symmetry: Pmmn
- Energy above the lowest structure with this stoichiometry: 0.000 eV/atom

Structure (CIF):
```
data_CrTcGe3
_symmetry_space_group_name_H-M 'P 1'
_symmetry_Int_Tables_number 1
_cell_length_a 3.120
_cell_length_b 6.869
_cell_length_c 8.138
_cell_angle_alpha 90.00
_cell_angle_beta 90.00
_cell_angle_gamma 90.00
loop_
_symmetry_equiv_pos_as_xyz
'x,y,z'
loop_
_atom_site_label
_atom_site_type_symbol
_atom_site_fract_x
_atom_site_fract_y
_atom_site_fract_z
_atom_site_occupancy
Ge1 Ge 0.250 0.340 0.750 1
Ge2 Ge 0.750 0.156 0.063 1
Ge3 Ge 0.750 0.156 0.437 1
Ge4 Ge 0.250 0.844 0.563 1
Ge5 Ge 0.250 0.844 0.937 1
Ge6 Ge 0.750 0.660 0.250 1
Tc1 Tc 0.250 0.943 0.250 1
Tc2 Tc 0.750 0.057 0.750 1
Cr1 Cr 0.250 0.369 0.250 1
Cr2 Cr 0.750 0.631 0.750 1
```